(1)
# Cu4Pt5, PBEsol geometry, DFT meta-GGA SCAN
data_Cu4Pt5
_chemical_formula_sum 'Cu4 Pt5'
_cell_length_a 5.955
_cell_length_b 5.955
_cell_length_c 5.955
_cell_angle_alpha 95.96
_cell_angle_beta 95.96
_cell_angle_gamma 142.40
_symmetry_space_group_name_H-M 'P 1'
_symmetry_Int_Tables_number 1
_symmetry_space_group_name_Hall 'P 1'
loop_
_atom_site_label
_atom_site_type_symbol
_atom_site_fract_x
_atom_site_fract_y
_atom_site_fract_z
_atom_site_occupancy
Cu1 Cu 0.000 0.340 0.340 1
Cu2 Cu 0.000 0.660 0.660 1
Cu3 Cu 0.340 0.000 0.340 1
Cu4 Cu 0.660 0.000 0.660 1
Pt1 Pt 0.000 0.000 0.000 1
Pt2 Pt 0.330 0.330 0.660 1
Pt3 Pt 0.330 0.670 0.000 1
Pt4 Pt 0.670 0.330 0.000 1
Pt5 Pt 0.670 0.670 0.340 1
# * energy of formation: -120 meV/atom
# * theoretical density: 16.739 g/cm3
# * distance to the lowest polymorph of the same formula: 0 meV/atom
# * uncorrected energy: -45.871 eV/atom
# * spin magnetization: 0.000 μB/atom

***

(2)
# Cu7Pt5, PBEsol geometry, DFT meta-GGA SCAN
data_Cu7Pt5
_chemical_formula_sum 'Cu7 Pt5'
_cell_length_a 4.567
_cell_length_b 5.284
_cell_length_c 6.474
_cell_angle_alpha 90.00
_cell_angle_beta 90.87
_cell_angle_gamma 90.00
_symmetry_space_group_name_H-M 'P 1'
_symmetry_Int_Tables_number 1
_symmetry_space_group_name_Hall 'P 1'
loop_
_atom_site_label
_atom_site_type_symbol
_atom_site_fract_x
_atom_site_fract_y
_atom_site_fract_z
_atom_site_occupancy
Cu1 Cu 0.000 0.000 0.000 1
Cu2 Cu 0.171 0.239 0.336 1
Cu3 Cu 0.171 0.761 0.336 1
Cu4 Cu 0.327 0.000 0.661 1
Cu5 Cu 0.673 0.000 0.339 1
Cu6 Cu 0.829 0.239 0.664 1
Cu7 Cu 0.829 0.761 0.664 1
Pt1 Pt 0.000 0.500 0.000 1
Pt2 Pt 0.318 0.500 0.657 1
Pt3 Pt 0.500 0.245 0.000 1
Pt4 Pt 0.500 0.755 0.000 1
Pt5 Pt 0.682 0.500 0.343 1
# * energy of formation: -125 meV/atom
# * theoretical density: 15.097 g/cm3
# * distance to the lowest polymorph of the same formula: 35 meV/atom
# * uncorrected energy: -38.238 eV/atom
# * spin magnetization: 0.000 μB/atom

***

(3)
# Cu5Pt7, PBEsol geometry, DFT meta-GGA SCAN
data_Cu5Pt7
_chemical_formula_sum 'Cu5 Pt7'
_cell_length_a 2.718
_cell_length_b 8.073
_cell_length_c 7.432
_cell_angle_alpha 90.00
_cell_angle_beta 90.00
_cell_angle_gamma 90.00
_symmetry_space_group_name_H-M 'P 1'
_symmetry_Int_Tables_number 1
_symmetry_space_group_name_Hall 'P 1'
loop_
_atom_site_label
_atom_site_type_symbol
_atom_site_fract_x
_atom_site_fract_y
_atom_site_fract_z
_atom_site_occupancy
Cu1 Cu 0.000 0.000 0.000 1
Cu2 Cu 0.000 0.328 0.516 1
Cu3 Cu 0.000 0.672 0.516 1
Cu4 Cu 0.500 0.164 0.764 1
Cu5 Cu 0.500 0.836 0.764 1
Pt1 Pt 0.000 0.000 0.529 1
Pt2 Pt 0.000 0.326 0.004 1
Pt3 Pt 0.000 0.674 0.004 1
Pt4 Pt 0.500 0.165 0.263 1
Pt5 Pt 0.500 0.500 0.277 1
Pt6 Pt 0.500 0.500 0.745 1
Pt7 Pt 0.500 0.835 0.263 1
# * energy of formation: -127 meV/atom
# * theoretical density: 17.138 g/cm3
# * distance to the lowest polymorph of the same formula: 0 meV/atom
# * uncorrected energy: -47.406 eV/atom
# * spin magnetization: 0.000 μB/atom